Record 1
A plane-wave DFT calculation with PBE was carried out for a relaxed structure of ErBiRu2.

VASP energy: -27.85 eV per cell
symmetry: Fm-3m (225)
magnetic moment: 0.00 μB/cell
mass density: 12.98 g cm⁻³
formation energy: -0.214 eV per atom

Unit cell a=4.713 b=4.713 c=4.713 alpha=60.00 beta=60.00 gamma=60.00
Element x y z (fractional)
1 Er 0.000 0.000 0.000
2 Bi 0.500 0.500 0.500
3 Ru 0.250 0.250 0.250
4 Ru 0.750 0.750 0.750


Record 2
A plane-wave DFT calculation with PBE was carried out for a relaxed structure of HfTiMo3.

VASP energy: -41.05 eV per cell
symmetry: Pm-3m (221)
magnetic moment: 1.97 μB/cell
mass density: 7.97 g cm⁻³
formation energy: 1.858 eV per atom

Unit cell a=4.750 b=4.750 c=4.750 alpha=90.00 beta=90.00 gamma=90.00
Element x y z (fractional)
1 Hf 0.000 0.000 0.000
2 Ti 0.500 0.500 0.500
3 Mo 0.000 0.000 0.500
4 Mo 0.000 0.500 0.000
5 Mo 0.500 0.000 0.000


Record 3
A plane-wave DFT calculation with PBE was carried out for a relaxed structure of YSiTc2.

VASP energy: -32.30 eV per cell
symmetry: Cmmm (65)
magnetic moment: 0.00 μB/cell
mass density: 7.67 g cm⁻³
formation energy without anion corrections: 0.079 eV per atom

Unit cell a=2.985 b=2.985 c=8.169 alpha=90.00 beta=90.00 gamma=111.31
Element x y z (fractional)
1 Y 0.000 0.000 0.000
2 Si 0.000 0.000 0.500
3 Tc 0.500 0.500 0.292
4 Tc 0.500 0.500 0.708


Record 4
A plane-wave DFT calculation with PBE was carried out for a relaxed structure of HfCu2W.

VASP energy: -30.11 eV per cell
symmetry: Fm-3m (225)
magnetic moment: 0.00 μB/cell
mass density: 13.24 g cm⁻³
formation energy: 0.247 eV per atom

Unit cell a=4.428 b=4.428 c=4.428 alpha=60.00 beta=60.00 gamma=60.00
Element x y z (fractional)
1 Hf 0.000 0.000 0.000
2 Cu 0.250 0.250 0.250
3 Cu 0.750 0.750 0.750
4 W 0.500 0.500 0.500